Record 1
A plane-wave DFT calculation with PBE was carried out for an optimized crystal structure of Rb2P2Ru.

Structure (POSCAR):
```
Rb2P2Ru
1.0
-2.4951 4.0313 4.0335
-5.3014 -3.2620 -0.0192
1.9448 -3.1867 4.3881
Rb P Ru
4 4 2
Direct
0.6821 0.8179 0.5000
0.1821 0.6821 0.5000
0.8179 0.3179 0.5000
0.3179 0.1821 0.5000
0.8664 0.6336 0.0000
0.1336 0.3664 0.0000
0.6336 0.1336 0.0000
0.3664 0.8664 0.0000
0.5000 0.5000 0.0000
0.0000 0.0000 0.0000
```

## Properties
Its space group is P4/mbm, No. 127. As for the raw total energy: -4.530 eV/atom. Its formation energy is -123 meV per atom.

---

Record 2
A plane-wave DFT calculation with PBE was carried out for an optimized crystal structure of RbP2Ru.

Structure (POSCAR):
```
RbP2Ru
1.0
-0.5050 0.8004 6.8366
-0.9551 -6.7968 0.7252
4.0709 -3.6272 4.2091
P Ru Rb
4 2 2
Direct
0.3750 0.2223 0.7500
0.7777 0.1250 0.2500
0.9723 0.6250 0.2500
0.8750 0.0277 0.7500
0.7500 0.2500 0.5000
0.0000 0.0000 0.0000
0.2500 0.7500 0.5000
0.5000 0.5000 0.0000
```

## Properties
Its space group is I-42d, No. 122. As for the relative energy among the computed polymorphs: 0.000 eV per atom. As for the raw total energy: -5.477 eV/atom. Its formation energy is -211 meV per atom.

---

Record 3
A plane-wave DFT calculation with PBE was carried out for an optimized crystal structure of RbPRu3.

Structure (POSCAR):
```
RbPRu3
1.0
-0.4201 0.7917 -4.4677
2.5264 -3.6861 -0.8907
-3.7688 -2.5592 -0.0991
Ru P Rb
3 1 1
Direct
0.0000 0.5000 0.0000
0.5000 0.0000 0.0000
0.0000 0.0000 0.5000
0.0000 0.0000 0.0000
0.5000 0.5000 0.5000
```

## Properties
Its space group is Pm-3m, No. 221. As for the relative energy among the computed polymorphs: 0.000 eV per atom. As for the raw total energy: -6.060 eV/atom. Its formation energy is 781 meV per atom.

---

Record 4
A plane-wave DFT calculation with PBE was carried out for an optimized crystal structure of RbP3Ru3.

Structure (POSCAR):
```
RbP3Ru3
1.0
6.1047 0.0003 2.4261
2.5704 5.5372 2.4261
-0.1413 -0.0902 9.2478
Rb P Ru
2 6 6
Direct
0.6644 0.6644 0.0067
0.3356 0.3356 0.9933
0.9041 0.5166 0.3271
0.0959 0.4834 0.6729
0.4834 0.7478 0.6729
0.2522 0.9041 0.3271
0.7478 0.0959 0.6729
0.5166 0.2522 0.3271
0.1736 0.5758 0.3938
0.5758 0.8567 0.3938
0.1433 0.8264 0.6062
0.4242 0.1433 0.6062
0.8264 0.4242 0.6062
0.8567 0.1736 0.3938
```

## Properties
Its space group is R-3, No. 148. As for the raw total energy: -6.858 eV/atom. Its formation energy is -426 meV per atom.

---

Record 5
A plane-wave DFT calculation with PBE was carried out for an optimized crystal structure of Rb3PRu.

Structure (POSCAR):
```
Rb3PRu
1.0
-2.1332 4.1784 4.4741
0.9063 -4.4702 4.6069
6.0544 2.1414 0.8868
Rb P Ru
3 1 1
Direct
0.5000 0.0000 0.0000
0.0000 0.0000 0.5000
0.0000 0.5000 0.0000
0.0000 0.0000 0.0000
0.5000 0.5000 0.5000
```

## Properties
Its space group is Pm-3m, No. 221. As for the relative energy among the computed polymorphs: 0.000 eV per atom. As for the raw total energy: -2.423 eV/atom. Its formation energy is 1094 meV per atom.

---

Record 6
A plane-wave DFT calculation with PBE was carried out for an optimized crystal structure of Rb2P2Ru.

Structure (POSCAR):
```
Rb2P2Ru
1.0
-6.6365 7.2303 -1.0621
-2.9756 -3.9840 -8.5278
-1.9504 -1.5817 1.4195
P Rb Ru
4 4 2
Direct
0.1778 0.6778 0.5000
0.6778 0.8222 0.5000
0.8222 0.3222 0.5000
0.3222 0.1778 0.5000
0.1219 0.3781 0.0000
0.8781 0.6219 0.0000
0.3781 0.8781 0.0000
0.6219 0.1219 0.0000
0.5000 0.5000 0.0000
0.0000 0.0000 0.0000
```

## Properties
Its space group is P4/mbm, No. 127. As for the raw total energy: -3.190 eV/atom. Its formation energy is 1216 meV per atom.

---

Record 7
A plane-wave DFT calculation with PBE was carried out for an optimized crystal structure of Rb2PRu.

Structure (POSCAR):
```
Rb2PRu
1.0
-2.9190 11.2431 5.7102
2.8260 -5.1289 11.5431
2.0701 3.7202 8.4031
Rb Ru P
4 2 2
Direct
0.8621 0.1250 0.2500
0.8750 0.1121 0.7500
0.8879 0.6250 0.2500
0.3750 0.1379 0.7500
0.0000 0.0000 0.0000
0.7500 0.2500 0.5000
0.2500 0.7500 0.5000
0.5000 0.5000 0.0000
```

## Properties
Its space group is I-42d, No. 122. As for the raw total energy: -3.949 eV/atom. Its formation energy is 206 meV per atom.

---

Record 8
A plane-wave DFT calculation with PBE was carried out for an optimized crystal structure of RbP2Ru4.

Structure (POSCAR):
```
RbP2Ru4
1.0
-3.5728 3.0302 -0.9519
-2.8020 -3.6816 -1.2032
-5.1210 -0.7670 4.7756
Ru P Rb
4 2 1
Direct
0.7609 0.7609 0.4782
0.2391 0.2391 0.5218
0.0000 0.5000 0.0000
0.5000 0.0000 0.0000
0.5909 0.5909 0.8182
0.4091 0.4091 0.1818
0.0000 0.0000 0.0000
```

## Properties
Its space group is I4/mmm, No. 139. As for the raw total energy: -5.107 eV/atom. Its formation energy is 1878 meV per atom.

---

Q: raw total energy of number 7 (Rb2PRu)?
A: -3.949 eV/atom

---

Q: Among the records above, which one has the highest raw total energy?
A: Rb3PRu